Record 1
VASP calculation (PBE) on a geometry-optimized TaMn2ReC structure.

abc: 3.8786 3.8786 4.0838
angles: 90.00 90.00 90.00
Last column: magnetic moment on the atom in μB.
Sites, in units of the cell vectors:
Ta: 0.5000 0.5000 0.5000  -0.17
Mn: 0.5000 0.0000 0.0000  0.89
Mn: 0.0000 0.5000 0.0000  0.89
C: 0.0000 0.0000 0.0000  -0.05
Re: 0.0000 0.0000 0.5000  -0.02

Results
DFT total energy in eV/atom: -10.459
Magnetization in μB/cell: 1.5
ΔE_f in eV per atom: -0.0865

Record 2
VASP calculation (PBE) on a geometry-optimized Rb2MgSnCl6 structure.

abc: 7.5432 7.5420 7.5439
angles: 60.00 59.99 90.00
Sites, in units of the cell vectors:
Cl: 0.2363 0.2366 0.0000
Cl: 0.7634 0.7634 0.4730
Cl: 0.7634 0.2363 0.0000
Mg: 0.0000 0.0000 0.0000
Sn: 0.5000 0.5000 0.0000
Cl: 0.7637 0.7634 0.0000
Cl: 0.2366 0.7637 0.0000
Rb: 0.2498 0.7498 0.5004
Rb: 0.7502 0.2502 0.4996
Cl: 0.2366 0.2366 0.5270

Results
DFT total energy in eV/atom: -3.505
Magnetization in μB/cell: 0.0
Raw formation energy in eV per atom: -1.64

Record 3
VASP calculation (PBE) on a geometry-optimized Ba6As2SI3 structure.

abc: 8.2843 8.2843 8.7529
angles: 99.08 99.08 120.01
Sites, in units of the cell vectors:
As: 0.3334 0.6666 0.0000
Ba: 0.7371 0.7371 0.2062
As: 0.6666 0.3334 0.0000
Ba: 0.0686 0.4003 0.2061
Ba: 0.4003 0.0686 0.2061
Ba: 0.5997 0.9314 0.7939
I: 0.8324 0.1676 0.5000
I: 0.1676 0.8324 0.5000
S: 0.0000 0.0000 0.0000
Ba: 0.9314 0.5997 0.7939
I: 0.5000 0.5000 0.5000
Ba: 0.2629 0.2629 0.7938

Results
DFT total energy in eV/atom: -4.036
Magnetization in μB/cell: 0.0
Raw formation energy in eV per atom: -1.57

Record 4
VASP calculation (PBE) on a geometry-optimized LaSm3Dy12 structure.

abc: 5.0510 5.0510 20.2162
angles: 90.00 90.00 90.00
Sites, in units of the cell vectors:
Dy: 0.0000 0.5000 0.3757
Dy: 0.5000 0.5000 0.7484
La: 0.0000 0.0000 0.0000
Sm: 0.0000 0.0000 0.2506
Dy: 0.0000 0.5000 0.6243
Dy: 0.0000 0.5000 0.8729
Dy: 0.0000 0.5000 0.1271
Dy: 0.5000 0.0000 0.6243
Sm: 0.0000 0.0000 0.7494
Dy: 0.5000 0.0000 0.1271
Dy: 0.5000 0.5000 0.0000
Dy: 0.5000 0.0000 0.3757
Dy: 0.5000 0.5000 0.2516
Dy: 0.5000 0.0000 0.8729
Sm: 0.0000 0.0000 0.5000
Dy: 0.5000 0.5000 0.5000

Results
DFT total energy in eV/atom: -4.623
Magnetization in μB/cell: 0.0
ΔE_f in eV per atom: 0.0215

Record 5
VASP calculation (PBE) on a geometry-optimized La2CeSn structure.

abc: 4.8119 4.6687 12.0381
angles: 90.00 101.59 90.00
Last column: magnetic moment on the atom in μB.
Sites, in units of the cell vectors:
Ce: 0.6972 0.7500 0.3928  0.95
La: 0.5713 0.2500 0.1420  0.01
Sn: 0.1682 0.2500 0.3347  -0.02
La: 0.0575 0.7500 0.1145  -0.01
La: 0.4287 0.7500 0.8580  0.01
Sn: 0.8318 0.7500 0.6653  -0.02
Ce: 0.3028 0.2500 0.6072  0.95
La: 0.9425 0.2500 0.8855  -0.01

Results
DFT total energy in eV/atom: -5.242
Magnetization in μB/cell: 2.4
Energy above the most stable polymorph in this dataset in kcal/mol of atoms: 3.05
ΔE_f in eV per atom: -0.2939

Record 6
VASP calculation (PBE) on a geometry-optimized Y3Ho4Ni4 structure.

abc: 3.7023 8.7132 9.1692
angles: 118.37 101.65 90.00
Sites, in units of the cell vectors:
Ni: 0.5000 0.8029 0.0000
Ni: 0.7514 0.2514 0.5028
Ho: 0.3348 0.5207 0.6696
Y: 0.8979 0.8979 0.7958
Y: 0.1021 0.1021 0.2042
Ni: 0.5000 0.1971 0.0000
Y: 0.0000 0.5000 0.0000
Ni: 0.2486 0.7486 0.4972
Ho: 0.6652 0.4793 0.3304
Ho: 0.3348 0.1489 0.6696
Ho: 0.6652 0.8511 0.3304

Results
DFT total energy in eV/atom: -5.765
Magnetization in μB/cell: 0.0
ΔE_f in eV per atom: -0.2349

Record 7
VASP calculation (PBE) on a geometry-optimized NaSnGe4 structure.

abc: 5.6895 5.6895 5.6895
angles: 60.00 60.00 60.00
Sites, in units of the cell vectors:
Ge: 0.1263 0.6246 0.6246
Na: 0.0000 0.0000 0.0000
Ge: 0.6246 0.6246 0.1263
Sn: 0.2500 0.2500 0.2500
Ge: 0.6246 0.1263 0.6246
Ge: 0.6246 0.6246 0.6246

Results
DFT total energy in eV/atom: -3.848
Magnetization in μB/cell: 0.0
ΔE_f in eV per atom: 0.1175

Record 8
VASP calculation (PBE) on a geometry-optimized LaTiHg2 structure.

abc: 5.2181 5.2181 5.2181
angles: 60.00 60.00 60.00
Last column: magnetic moment on the atom in μB.
Sites, in units of the cell vectors:
Ti: 0.0000 0.0000 0.0000  1.49
La: 0.5000 0.5000 0.5000  0.12
Hg: 0.7500 0.7500 0.7500  0.02
Hg: 0.2500 0.2500 0.2500  0.02

Results
DFT total energy in eV/atom: -3.489
Magnetization in μB/cell: 2.3
Energy above the most stable polymorph in this dataset in kcal/mol of atoms: 0.88
ΔE_f in eV per atom: -0.1323

Record 9
VASP calculation (PBE) on a geometry-optimized DyHo2Tm structure.

abc: 3.5132 3.5132 11.6214
angles: 81.31 81.31 60.00
Sites, in units of the cell vectors:
Tm: 0.0000 0.0000 0.0000
Dy: 0.5000 0.5000 0.5000
Ho: 0.2505 0.2505 0.2485
Ho: 0.7495 0.7495 0.7515

Results
DFT total energy in eV/atom: -4.535
Magnetization in μB/cell: 0.0
Energy above the most stable polymorph in this dataset in kcal/mol of atoms: 0.50
ΔE_f in eV per atom: 0.0225

Record 10
VASP calculation (PBE) on a geometry-optimized CaLa2RuO6 structure.

abc: 5.7045 5.9748 8.2081
angles: 90.00 90.72 90.00
Last column: magnetic moment on the atom in μB.
Sites, in units of the cell vectors:
O: 0.7106 0.3164 0.9453  0.07
O: 0.2894 0.6836 0.0547  0.07
Ca: 0.0000 0.5000 0.5000  0.00
O: 0.7894 0.8164 0.5547  0.07
O: 0.2106 0.1836 0.4453  0.07
La: 0.4820 0.4392 0.2494  0.01
Ru: 0.5000 0.0000 0.5000  1.42
O: 0.8855 0.5437 0.2323  0.06
O: 0.3224 0.7148 0.4353  0.06
O: 0.1776 0.2148 0.0647  0.06
O: 0.3855 0.9563 0.7323  0.06
O: 0.6145 0.0437 0.2677  0.06
La: 0.0180 0.9392 0.2506  0.01
O: 0.6776 0.2852 0.5647  0.06
Ru: 0.0000 0.5000 0.0000  1.42
La: 0.9820 0.0608 0.7494  0.01
La: 0.5180 0.5608 0.7506  0.01
O: 0.1145 0.4563 0.7677  0.06
O: 0.8224 0.7852 0.9353  0.06
Ca: 0.5000 0.0000 0.0000  0.00

Results
DFT total energy in eV/atom: -7.706
Magnetization in μB/cell: 4.0
Raw formation energy in eV per atom: -2.62

Record 11
VASP calculation (PBE) on a geometry-optimized Li2CaH4 structure.

abc: 4.2602 4.2602 6.3551
angles: 70.42 70.42 90.00
Sites, in units of the cell vectors:
H: 0.5000 0.0000 0.0000
Ca: 0.0000 0.0000 0.0000
H: 0.1915 0.1915 0.6170
Li: 0.6545 0.6545 0.6911
H: 0.0000 0.5000 0.0000
Li: 0.3455 0.3455 0.3089
H: 0.8085 0.8085 0.3830

Results
DFT total energy in eV/atom: -2.931
Magnetization in μB/cell: 0.0
Energy above the most stable polymorph in this dataset in kcal/mol of atoms: 5.91

Record 12
VASP calculation (PBE) on a geometry-optimized Mg3Sn3IrPd2 structure.

abc: 3.3760 7.6359 7.6359
angles: 120.00 90.00 90.00
Sites, in units of the cell vectors:
Mg: 0.5000 0.7248 0.0000
Pd: 0.5000 0.6667 0.3333
Mg: 0.5000 0.2752 0.2752
Sn: 0.0000 0.6267 0.6267
Mg: 0.5000 0.0000 0.7248
Sn: 0.0000 0.0000 0.3733
Pd: 0.5000 0.3333 0.6667
Ir: 0.0000 0.0000 0.0000
Sn: 0.0000 0.3733 0.0000

Results
DFT total energy in eV/atom: -4.439
Magnetization in μB/cell: 0.0
ΔE_f in eV per atom: -0.4343

Please write out number 3 again, unchanged.
VASP calculation (PBE) on a geometry-optimized Ba6As2SI3 structure.

abc: 8.2843 8.2843 8.7529
angles: 99.08 99.08 120.01
Sites, in units of the cell vectors:
As: 0.3334 0.6666 0.0000
Ba: 0.7371 0.7371 0.2062
As: 0.6666 0.3334 0.0000
Ba: 0.0686 0.4003 0.2061
Ba: 0.4003 0.0686 0.2061
Ba: 0.5997 0.9314 0.7939
I: 0.8324 0.1676 0.5000
I: 0.1676 0.8324 0.5000
S: 0.0000 0.0000 0.0000
Ba: 0.9314 0.5997 0.7939
I: 0.5000 0.5000 0.5000
Ba: 0.2629 0.2629 0.7938

Results
DFT total energy in eV/atom: -4.036
Magnetization in μB/cell: 0.0
Raw formation energy in eV per atom: -1.57

Please write out number 12 again, unchanged.
VASP calculation (PBE) on a geometry-optimized Mg3Sn3IrPd2 structure.

abc: 3.3760 7.6359 7.6359
angles: 120.00 90.00 90.00
Sites, in units of the cell vectors:
Mg: 0.5000 0.7248 0.0000
Pd: 0.5000 0.6667 0.3333
Mg: 0.5000 0.2752 0.2752
Sn: 0.0000 0.6267 0.6267
Mg: 0.5000 0.0000 0.7248
Sn: 0.0000 0.0000 0.3733
Pd: 0.5000 0.3333 0.6667
Ir: 0.0000 0.0000 0.0000
Sn: 0.0000 0.3733 0.0000

Results
DFT total energy in eV/atom: -4.439
Magnetization in μB/cell: 0.0
ΔE_f in eV per atom: -0.4343

The highest DFT total energy belongs to which entry? Li2CaH4